(1)
The following is a PBE-GGA calculation of a geometry-optimized K3YSb2S6 structure, from Alexandria via LeMat-Bulk.

- Energy: -55.91 eV per cell
- Formation energy without anion corrections: -1095 meV/atom
- SG: C2/m (12)

Structure (POSCAR):
```
K3YSb2S6
1.0
-4.265 1.288 5.482
6.686 -1.988 1.118
1.295 7.286 -2.220
K Y Sb S
3 1 2 6
Direct
0.169 0.831 0.500
0.831 0.169 0.500
0.500 0.500 0.500
0.000 0.000 0.000
0.334 0.666 0.000
0.666 0.334 0.000
0.932 0.601 0.797
0.737 0.737 0.204
0.068 0.399 0.203
0.601 0.932 0.797
0.263 0.263 0.796
0.399 0.068 0.203
```



(2)
The following is a PBE-GGA calculation of a geometry-optimized NbGeTePO structure, from Alexandria via LeMat-Bulk.

- Energy relative to the lowest polymorph listed for this composition: 0.71 eV/f.u.
- Energy: -62.11 eV per cell
- Formation energy without anion corrections: -571 meV/atom
- SG: Cm (8)

Structure (POSCAR):
```
NbGeTePO
1.0
-3.132 1.915 2.218
-2.173 -2.568 -0.851
4.205 -7.496 11.877
Nb Ge Te P O
2 2 2 2 2
Direct
0.465 0.000 0.158
0.465 0.500 0.658
0.237 0.000 0.491
0.237 0.500 0.991
0.788 0.000 0.348
0.788 0.500 0.848
0.947 0.000 0.071
0.947 0.500 0.571
0.364 0.000 0.707
0.364 0.500 0.207
```



(3)
The following is a PBE-GGA calculation of a geometry-optimized Ce2PrNd3As6 structure, from Alexandria via LeMat-Bulk.

- DFT formation energy: -1.489 eV per atom
- Energy: -76.72 eV per cell
- SG: C2/m (12)

Structure (POSCAR):
```
Ce2PrNd3As6
1.0
-6.934 1.949 1.587
4.301 -2.916 5.235
3.066 6.687 -0.526
Ce Pr Nd As
2 1 3 6
Direct
0.333 0.667 0.000
0.667 0.333 0.000
0.000 0.000 0.000
0.166 0.834 0.500
0.834 0.166 0.500
0.500 0.500 0.500
0.918 0.579 0.754
0.743 0.743 0.246
0.082 0.421 0.246
0.579 0.918 0.754
0.257 0.257 0.754
0.421 0.082 0.246
```



(4)
The following is a PBE-GGA calculation of a geometry-optimized K2Li2PaO4 structure, from Alexandria via LeMat-Bulk.

- Energy: -55.84 eV per cell
- Formation energy without anion corrections: -2277 meV/atom
- SG: C2/m (12)

Structure (POSCAR):
```
K2Li2PaO4
1.0
3.568 0.000 0.000
-1.784 6.457 -1.735
0.000 -3.873 7.706
K Li Pa O
2 2 1 4
Direct
0.832 0.664 0.423
0.168 0.336 0.577
0.342 0.684 0.073
0.658 0.316 0.927
0.000 0.000 0.000
0.810 0.621 0.925
0.190 0.379 0.075
0.559 0.118 0.210
0.441 0.882 0.790
```



(5)
The following is a PBE-GGA calculation of a geometry-optimized LiAc2CeS6 structure, from Alexandria via LeMat-Bulk.

- Energy: -116.03 eV per cell
- Formation energy without anion corrections: -1719 meV/atom
- SG: P2_1/c (14)

Structure (POSCAR):
```
LiAc2CeS6
1.0
-2.533 0.545 -6.467
-6.858 -1.991 2.518
-1.827 9.166 2.271
Li Ac Ce S
2 4 2 12
Direct
0.500 0.000 0.500
0.000 0.500 0.000
0.035 0.904 0.242
0.535 0.596 0.742
0.965 0.096 0.758
0.465 0.404 0.258
0.500 0.000 0.000
0.000 0.500 0.500
0.316 0.691 0.057
0.816 0.809 0.557
0.684 0.309 0.943
0.184 0.191 0.443
0.316 0.685 0.443
0.816 0.815 0.943
0.684 0.315 0.557
0.184 0.185 0.057
0.869 0.534 0.236
0.369 0.966 0.736
0.131 0.466 0.764
0.631 0.034 0.264
```



(6)
The following is a PBE-GGA calculation of a geometry-optimized HfMg2TiIn structure, from Alexandria via LeMat-Bulk.

- DFT formation energy: 1.043 eV per atom
- Energy: -18.56 eV per cell
- SG: P4/mmm (123)

Structure (POSCAR):
```
HfMg2TiIn
1.0
5.514 0.000 0.000
0.000 4.735 0.000
0.000 0.000 5.514
Mg Ti Hf In
2 1 1 1
Direct
0.000 0.000 0.500
0.500 0.000 0.000
0.000 0.500 0.000
0.000 0.000 0.000
0.500 0.500 0.500
```



(7)
The following is a PBE-GGA calculation of a geometry-optimized EuErAlSn structure, from Alexandria via LeMat-Bulk.

- DFT formation energy: -0.415 eV per atom
- Energy: -24.24 eV per cell
- SG: F-43m (216)

Structure (POSCAR):
```
EuErAlSn
1.0
-2.937 -4.403 0.102
2.339 -4.733 0.384
-0.415 -2.802 4.472
Eu Al Sn Er
1 1 1 1
Direct
0.000 0.000 0.000
0.750 0.750 0.750
0.250 0.250 0.250
0.500 0.500 0.500
```



(8)
The following is a PBE-GGA calculation of a geometry-optimized LaVN3 structure, from Alexandria via LeMat-Bulk.

- Energy: -86.86 eV per cell
- Formation energy without anion corrections: -882 meV/atom
- SG: Cmcm (63)

Structure (POSCAR):
```
LaVN3
1.0
-2.687 5.901 -1.058
-1.221 -5.945 2.514
1.787 1.683 4.849
V La N
2 2 6
Direct
0.098 0.902 0.250
0.902 0.098 0.750
0.364 0.636 0.250
0.636 0.364 0.750
0.851 0.468 0.250
0.532 0.149 0.250
0.468 0.851 0.750
0.149 0.532 0.750
0.000 0.000 0.000
0.000 0.000 0.500
```



(9)
The following is a PBE-GGA calculation of a geometry-optimized NaTcTe2N structure, from Alexandria via LeMat-Bulk.

- Energy relative to the lowest polymorph listed for this composition: 8.46 eV/f.u.
- Energy: -17.82 eV per cell
- Formation energy without anion corrections: 1695 meV/atom
- SG: P4/mmm (123)

Structure (POSCAR):
```
NaTcTe2N
1.0
5.538 0.000 0.000
0.000 5.538 0.000
0.000 0.000 4.149
Na Te Tc N
1 2 1 1
Direct
0.000 0.000 0.000
0.000 0.500 0.000
0.500 0.000 0.000
0.500 0.500 0.500
0.000 0.000 0.500
```



(10)
The following is a PBE-GGA calculation of a geometry-optimized Ca2Hg2Sb structure, from Alexandria via LeMat-Bulk.

- Energy relative to the lowest polymorph listed for this composition: 0.55 eV/f.u.
- Energy: -21.69 eV per cell
- Formation energy without anion corrections: -423 meV/atom
- SG: P4/mbm (127)

Structure (POSCAR):
```
Ca2Hg2Sb
1.0
8.517 0.000 0.000
0.000 8.517 0.000
0.000 0.000 4.119
Sb Ca Hg
2 4 4
Direct
0.000 0.000 0.000
0.500 0.500 0.000
0.332 0.832 0.000
0.832 0.668 0.000
0.668 0.168 0.000
0.168 0.332 0.000
0.133 0.633 0.500
0.633 0.867 0.500
0.867 0.367 0.500
0.367 0.133 0.500
```



(11)
The following is a PBE-GGA calculation of a geometry-optimized CoRe3Br structure, from Alexandria via LeMat-Bulk.

- Energy relative to the lowest polymorph listed for this composition: 1.97 eV/f.u.
- Energy: -33.35 eV per cell
- Formation energy without anion corrections: 2555 meV/atom
- SG: Pm-3m (221)

Structure (POSCAR):
```
CoRe3Br
1.0
-0.772 -0.437 4.419
3.650 -2.617 0.379
2.529 3.643 0.803
Re Co Br
3 1 1
Direct
0.000 0.500 0.000
0.000 0.000 0.500
0.500 0.000 0.000
0.500 0.500 0.500
0.000 0.000 0.000
```



(12)
The following is a PBE-GGA calculation of a geometry-optimized DyMgTlRh structure, from Alexandria via LeMat-Bulk.

- DFT formation energy: -0.358 eV per atom
- Energy: -17.35 eV per cell
- SG: F-43m (216)

Structure (POSCAR):
```
DyMgTlRh
1.0
-2.736 -0.775 4.025
-2.191 -4.360 0.688
1.613 -3.039 3.529
Tl Rh Mg Dy
1 1 1 1
Direct
0.000 0.000 0.000
0.500 0.500 0.500
0.750 0.750 0.750
0.250 0.250 0.250
```



(13)
The following is a PBE-GGA calculation of a geometry-optimized Os2RhBr structure, from Alexandria via LeMat-Bulk.

- Energy relative to the lowest polymorph listed for this composition: 2.52 eV/f.u.
- Energy: -26.52 eV per cell
- Formation energy without anion corrections: 1240 meV/atom
- SG: Cmmm (65)

Structure (POSCAR):
```
Os2RhBr
1.0
-2.719 -3.219 2.144
4.285 -0.774 1.842
-0.554 1.842 2.063
Rh Os Br
1 2 1
Direct
0.500 0.000 0.500
0.000 0.000 0.000
0.500 0.500 0.000
0.000 0.500 0.500
```



(14)
The following is a PBE-GGA calculation of a geometry-optimized PaCr3C2 structure, from Alexandria via LeMat-Bulk.

- DFT formation energy: -0.063 eV per atom
- Energy: -114.38 eV per cell
- SG: C2/m (12)

Structure (POSCAR):
```
PaCr3C2
1.0
3.688 0.000 0.000
-1.844 6.364 -0.655
0.000 -3.540 6.646
Pa Cr C
2 6 4
Direct
0.873 0.746 0.005
0.127 0.254 0.995
0.304 0.608 0.627
0.926 0.853 0.566
0.615 0.229 0.665
0.385 0.771 0.335
0.074 0.147 0.434
0.696 0.392 0.373
0.475 0.951 0.696
0.525 0.049 0.304
0.789 0.579 0.234
0.211 0.421 0.766
```



(15)
The following is a PBE-GGA calculation of a geometry-optimized Nd2Y6ErSc3 structure, from Alexandria via LeMat-Bulk.

- DFT formation energy: 0.052 eV per atom
- Energy: -71.26 eV per cell
- SG: C2/m (12)

Structure (POSCAR):
```
Nd2Y6ErSc3
1.0
-3.601 2.456 4.269
4.913 -3.224 1.640
5.847 9.748 -2.131
Nd Y Er Sc
2 6 1 3
Direct
0.333 0.667 0.000
0.667 0.333 0.000
0.913 0.580 0.739
0.754 0.754 0.261
0.087 0.420 0.261
0.580 0.913 0.739
0.246 0.246 0.739
0.420 0.087 0.261
0.000 0.000 0.000
0.166 0.834 0.500
0.834 0.166 0.500
0.500 0.500 0.500
```



(16)
The following is a PBE-GGA calculation of a geometry-optimized Ca5Zn structure, from Alexandria via LeMat-Bulk.

- DFT formation energy: 0.298 eV per atom
- Energy relative to the lowest polymorph listed for this composition: 2.25 eV/f.u.
- Energy: -9.49 eV per cell
- SG: F-43m (216)

Structure (POSCAR):
```
Ca5Zn
1.0
0.000 4.963 4.963
4.963 0.000 4.963
4.963 4.963 0.000
Ca Zn
5 1
Direct
0.250 0.250 0.250
0.625 0.625 0.625
0.625 0.625 0.125
0.125 0.625 0.625
0.625 0.125 0.625
0.000 0.000 0.000
```



(17)
The following is a PBE-GGA calculation of a geometry-optimized Li2CuTc structure, from Alexandria via LeMat-Bulk.

- DFT formation energy: 0.177 eV per atom
- Energy relative to the lowest polymorph listed for this composition: 0.24 eV/f.u.
- Energy: -17.58 eV per cell
- SG: C2/m (12)

Structure (POSCAR):
```
Li2CuTc
1.0
4.875 0.011 0.117
4.223 2.435 0.117
0.954 0.256 4.580
Cu Li Tc
1 2 1
Direct
0.250 0.250 0.250
0.991 0.991 0.001
0.509 0.509 0.499
0.750 0.750 0.750
```



(18)
The following is a PBE-GGA calculation of a geometry-optimized CrRuI2N structure, from Alexandria via LeMat-Bulk.

- Energy relative to the lowest polymorph listed for this composition: 1.33 eV/f.u.
- Energy: -26.18 eV per cell
- Formation energy without anion corrections: 829 meV/atom
- SG: P4/mmm (123)

Structure (POSCAR):
```
CrRuI2N
1.0
5.371 0.000 0.000
0.000 5.371 0.000
0.000 0.000 3.527
I Ru N Cr
2 1 1 1
Direct
0.000 0.500 0.000
0.500 0.000 0.000
0.500 0.500 0.500
0.000 0.000 0.500
0.000 0.000 0.000
```



(19)
The following is a PBE-GGA calculation of a geometry-optimized Ca2TcO5 structure, from Alexandria via LeMat-Bulk.

- Energy relative to the lowest polymorph listed for this composition: 0.58 eV/f.u.
- Energy: -112.96 eV per cell
- Formation energy without anion corrections: -2165 meV/atom
- SG: Cmcm (63)

Structure (POSCAR):
```
Ca2TcO5
1.0
3.912 0.000 0.000
-1.956 5.841 0.000
0.000 0.000 10.668
Ca Tc O
4 2 10
Direct
0.858 0.716 0.438
0.858 0.716 0.062
0.142 0.284 0.562
0.142 0.284 0.938
0.841 0.683 0.750
0.159 0.317 0.250
0.955 0.909 0.874
0.955 0.909 0.626
0.274 0.549 0.387
0.274 0.549 0.113
0.671 0.343 0.250
0.329 0.657 0.750
0.726 0.451 0.613
0.726 0.451 0.887
0.045 0.091 0.126
0.045 0.091 0.374
```



(20)
The following is a PBE-GGA calculation of a geometry-optimized NaEuH2 structure, from Alexandria via LeMat-Bulk.

- Energy relative to the lowest polymorph listed for this composition: 0.92 eV/f.u.
- Energy: -18.52 eV per cell
- SG: P4/mmm (123)

Structure (POSCAR):
```
NaEuH2
1.0
3.099 0.000 0.000
0.000 4.459 0.000
0.000 0.000 4.459
Eu Na H
1 1 2
Direct
0.500 0.500 0.500
0.500 0.000 0.000
0.000 0.000 0.500
0.000 0.500 0.000
```



(21)
The following is a PBE-GGA calculation of a geometry-optimized In3BiBr6 structure, from Alexandria via LeMat-Bulk.

- Energy: -58.25 eV per cell
- Formation energy without anion corrections: -699 meV/atom
- SG: P2_1/c (14)

Structure (POSCAR):
```
In3BiBr6
1.0
7.658 0.000 0.184
0.000 8.672 0.000
0.370 0.000 11.387
In Bi Br
6 2 12
Direct
0.533 0.921 0.768
0.500 0.500 0.000
0.467 0.079 0.232
0.033 0.579 0.268
0.000 0.000 0.500
0.967 0.421 0.732
0.500 0.500 0.500
0.000 0.000 0.000
0.685 0.170 0.956
0.661 0.218 0.579
0.638 0.437 0.263
0.362 0.563 0.737
0.339 0.782 0.421
0.315 0.830 0.044
0.185 0.330 0.456
0.161 0.282 0.079
0.138 0.063 0.763
0.862 0.937 0.237
0.839 0.718 0.921
0.815 0.670 0.544
```



(22)
The following is a PBE-GGA calculation of a geometry-optimized AcHo2F11 structure, from Alexandria via LeMat-Bulk.

- Energy: -164.97 eV per cell
- Formation energy without anion corrections: -3474 meV/atom
- SG: Ibam (72)

Structure (POSCAR):
```
AcHo2F11
1.0
-3.822 -2.122 -7.233
2.869 -7.409 -4.279
-6.392 -6.363 0.307
Ac Ho F
2 4 22
Direct
0.750 0.750 0.750
0.250 0.250 0.250
0.653 0.687 0.313
0.347 0.313 0.687
0.847 0.187 0.813
0.153 0.813 0.187
0.657 0.704 0.547
0.343 0.296 0.453
0.093 0.547 0.704
0.843 0.953 0.796
0.907 0.453 0.296
0.157 0.047 0.204
0.407 0.796 0.953
0.593 0.204 0.047
0.500 0.500 0.500
0.000 0.000 0.000
0.889 0.799 0.201
0.111 0.201 0.799
0.611 0.299 0.701
0.389 0.701 0.299
0.475 0.956 0.315
0.525 0.044 0.685
0.254 0.315 0.956
0.025 0.185 0.544
0.746 0.685 0.044
0.975 0.815 0.456
0.246 0.544 0.185
0.754 0.456 0.815
```



(23)
The following is a PBE-GGA calculation of a geometry-optimized SrNiP2 structure, from Alexandria via LeMat-Bulk.

- DFT formation energy: 0.107 eV per atom
- Energy: -17.86 eV per cell
- SG: Fm-3m (225)

Structure (POSCAR):
```
SrNiP2
1.0
-0.250 -1.049 4.588
-3.585 1.618 2.596
-3.308 -2.971 1.561
Sr P Ni
1 2 1
Direct
0.500 0.500 0.500
0.250 0.250 0.250
0.750 0.750 0.750
0.000 0.000 0.000
```



The evaluated spin magnetization for the records listed, in turn: 0.00; 0.00; 1.17; 0.16; 0.00; 0.00; 7.08; 0.39; 6.47; 0.00; 1.00; 0.00; 0.00; 0.00; 0.00; 0.00; 0.60; 2.22; 1.03; 7.54; 0.00; 2.12; 0.00 μB/f.u..